Here is a relaxed structure of Th2MgIn from Alexandria. Energies are from GGA-PBE.

Cell: 4.8162 4.8162 4.8524 Å, 90.00 90.00 90.00°
Space group P4/mmm (No. 123)
Inequivalent atoms, fractional coordinates:
1 Th 0.0000 0.5000 0.0000 (multiplicity 2)
2 Mg 0.0000 0.0000 0.5000 (multiplicity 1)
3 In 0.5000 0.5000 0.5000 (multiplicity 1)

Density of states at the Fermi level: 3.604 states/eV per cell
M_tot: 0.00 μB per cell
Calculated formation energy: -130 meV per atom
E_tot: -19.69 eV/f.u.